(1)
# SrCuH3 PBE optimized geometry
# **Spin magnetization**: 0.00 μB/f.u.
# **Total energy**: -3.027 eV/atom
# **Calculated volume**: 166.7 Å³ per cell
# **Density**: 3.072 g cm⁻³
# **Space-group type**: Amm2, No. 38
data_SrCuH3
_chemical_formula_sum 'Sr2 Cu2 H6'
_cell_length_a 3.198
_cell_length_b 5.476
_cell_length_c 9.521
_cell_angle_alpha 90.00
_cell_angle_beta 90.00
_cell_angle_gamma 90.00
_symmetry_space_group_name_H-M 'P 1'
_symmetry_Int_Tables_number 1
loop_
_symmetry_equiv_pos_as_xyz
'x,y,z'
loop_
_atom_site_label
_atom_site_fract_x
_atom_site_fract_y
_atom_site_fract_z
Sr1 0.000 0.000 0.000
Sr2 0.000 0.500 0.500
Cu1 0.500 0.000 0.670
Cu2 0.500 0.500 0.170
H1 0.000 0.174 0.658
H2 0.000 0.326 0.158
H3 0.000 0.674 0.158
H4 0.000 0.826 0.658
H5 0.500 0.000 0.841
H6 0.500 0.500 0.341

(2)
# SrCuH3 PBE optimized geometry
# **Spin magnetization**: 0.00 μB/f.u.
# **Total energy**: -3.519 eV/atom
# **Calculated volume**: 133.5 Å³ per cell
# **Density**: 3.836 g cm⁻³
# **Space-group type**: P1, No. 1
data_SrCuH3
_chemical_formula_sum 'Sr2 Cu2 H6'
_cell_length_a 4.737
_cell_length_b 4.742
_cell_length_c 6.404
_cell_angle_alpha 88.90
_cell_angle_beta 68.35
_cell_angle_gamma 87.00
_symmetry_space_group_name_H-M 'P 1'
_symmetry_Int_Tables_number 1
loop_
_symmetry_equiv_pos_as_xyz
'x,y,z'
loop_
_atom_site_label
_atom_site_fract_x
_atom_site_fract_y
_atom_site_fract_z
Sr1 0.000 0.000 0.000
Sr2 0.253 0.500 0.493
Cu1 0.589 0.545 0.886
Cu2 0.728 0.045 0.607
H1 0.078 0.014 0.589
H2 0.354 0.691 0.118
H3 0.476 0.250 0.814
H4 0.543 0.750 0.679
H5 0.724 0.190 0.375
H6 0.921 0.513 0.903

(3)
# SrCuH3 PBE optimized geometry
# **Spin magnetization**: 0.00 μB/f.u.
# **Total energy**: -3.422 eV/atom
# **Calculated volume**: 121.8 Å³ per cell
# **Density**: 4.203 g cm⁻³
# **Space-group type**: C2/m, No. 12
data_SrCuH3
_chemical_formula_sum 'Sr2 Cu2 H6'
_cell_length_a 6.773
_cell_length_b 6.773
_cell_length_c 5.174
_cell_angle_alpha 110.88
_cell_angle_beta 110.88
_cell_angle_gamma 33.58
_symmetry_space_group_name_H-M 'P 1'
_symmetry_Int_Tables_number 1
loop_
_symmetry_equiv_pos_as_xyz
'x,y,z'
loop_
_atom_site_label
_atom_site_fract_x
_atom_site_fract_y
_atom_site_fract_z
Sr1 0.112 0.112 0.309
Sr2 0.888 0.888 0.691
Cu1 0.320 0.320 0.126
Cu2 0.680 0.680 0.874
H1 0.190 0.190 0.873
H2 0.313 0.313 0.442
H3 0.440 0.440 0.094
H4 0.560 0.560 0.906
H5 0.687 0.687 0.558
H6 0.810 0.810 0.127

(4)
# SrCuH3 PBE optimized geometry
# **Spin magnetization**: 0.00 μB/f.u.
# **Total energy**: -3.516 eV/atom
# **Calculated volume**: 129.0 Å³ per cell
# **Density**: 3.971 g cm⁻³
# **Space-group type**: P2_1, No. 4
data_SrCuH3
_chemical_formula_sum 'Sr2 Cu2 H6'
_cell_length_a 5.052
_cell_length_b 4.500
_cell_length_c 6.050
_cell_angle_alpha 90.00
_cell_angle_beta 110.35
_cell_angle_gamma 90.00
_symmetry_space_group_name_H-M 'P 1'
_symmetry_Int_Tables_number 1
loop_
_symmetry_equiv_pos_as_xyz
'x,y,z'
loop_
_atom_site_label
_atom_site_fract_x
_atom_site_fract_y
_atom_site_fract_z
Sr1 0.143 0.000 0.275
Sr2 0.857 0.500 0.725
Cu1 0.387 0.885 0.862
Cu2 0.613 0.385 0.138
H1 0.069 0.009 0.817
H2 0.350 0.623 0.060
H3 0.358 0.691 0.626
H4 0.642 0.191 0.374
H5 0.650 0.123 0.940
H6 0.931 0.509 0.183

(5)
# Sr3Cu2H9 PBE optimized geometry
# **Spin magnetization**: 0.00 μB/f.u.
# **Total energy**: -3.418 eV/atom
# **Calculated volume**: 313.9 Å³ per cell
# **Density**: 4.222 g cm⁻³
# **Space-group type**: R-3c, No. 167
data_Sr3Cu2H9
_chemical_formula_sum 'Sr6 Cu4 H18'
_cell_length_a 6.839
_cell_length_b 6.839
_cell_length_c 6.839
_cell_angle_alpha 83.38
_cell_angle_beta 83.38
_cell_angle_gamma 83.38
_symmetry_space_group_name_H-M 'P 1'
_symmetry_Int_Tables_number 1
loop_
_symmetry_equiv_pos_as_xyz
'x,y,z'
loop_
_atom_site_label
_atom_site_fract_x
_atom_site_fract_y
_atom_site_fract_z
Sr1 0.084 0.750 0.416
Sr2 0.250 0.584 0.916
Sr3 0.416 0.084 0.750
Sr4 0.584 0.916 0.250
Sr5 0.750 0.416 0.084
Sr6 0.916 0.250 0.584
Cu1 0.154 0.154 0.154
Cu2 0.346 0.346 0.346
Cu3 0.654 0.654 0.654
Cu4 0.846 0.846 0.846
H1 0.074 0.908 0.739
H2 0.092 0.261 0.926
H3 0.096 0.404 0.250
H4 0.239 0.408 0.574
H5 0.250 0.096 0.404
H6 0.261 0.926 0.092
H7 0.404 0.250 0.096
H8 0.408 0.574 0.239
H9 0.426 0.761 0.592
H10 0.574 0.239 0.408
H11 0.592 0.426 0.761
H12 0.596 0.750 0.904
H13 0.739 0.074 0.908
H14 0.750 0.904 0.596
H15 0.761 0.592 0.426
H16 0.904 0.596 0.750
H17 0.908 0.739 0.074
H18 0.926 0.092 0.261

(6)
# SrCuH3 PBE optimized geometry
# **Spin magnetization**: 0.00 μB/f.u.
# **Total energy**: -3.455 eV/atom
# **Calculated volume**: 266.9 Å³ per cell
# **Density**: 3.837 g cm⁻³
# **Space-group type**: C2/c, No. 15
data_SrCuH3
_chemical_formula_sum 'Sr4 Cu4 H12'
_cell_length_a 6.881
_cell_length_b 6.881
_cell_length_c 5.832
_cell_angle_alpha 99.29
_cell_angle_beta 99.29
_cell_angle_gamma 95.42
_symmetry_space_group_name_H-M 'P 1'
_symmetry_Int_Tables_number 1
loop_
_symmetry_equiv_pos_as_xyz
'x,y,z'
loop_
_atom_site_label
_atom_site_fract_x
_atom_site_fract_y
_atom_site_fract_z
Sr1 0.105 0.895 0.750
Sr2 0.349 0.651 0.250
Sr3 0.651 0.349 0.750
Sr4 0.895 0.105 0.250
Cu1 0.182 0.365 0.731
Cu2 0.365 0.182 0.231
Cu3 0.635 0.818 0.769
Cu4 0.818 0.635 0.269
H1 0.024 0.782 0.334
H2 0.156 0.584 0.852
H3 0.218 0.976 0.166
H4 0.289 0.330 0.476
H5 0.330 0.289 0.976
H6 0.416 0.844 0.648
H7 0.584 0.156 0.352
H8 0.670 0.711 0.024
H9 0.711 0.670 0.524
H10 0.782 0.024 0.834
H11 0.844 0.416 0.148
H12 0.976 0.218 0.666

(7)
# SrCuH3 PBE optimized geometry
# **Spin magnetization**: 0.00 μB/f.u.
# **Total energy**: -3.131 eV/atom
# **Calculated volume**: 238.5 Å³ per cell
# **Density**: 4.295 g cm⁻³
# **Space-group type**: Fd-3m, No. 227
data_SrCuH3
_chemical_formula_sum 'Sr4 Cu4 H12'
_cell_length_a 6.961
_cell_length_b 6.961
_cell_length_c 6.961
_cell_angle_alpha 60.00
_cell_angle_beta 60.00
_cell_angle_gamma 60.00
_symmetry_space_group_name_H-M 'P 1'
_symmetry_Int_Tables_number 1
loop_
_symmetry_equiv_pos_as_xyz
'x,y,z'
loop_
_atom_site_label
_atom_site_fract_x
_atom_site_fract_y
_atom_site_fract_z
Sr1 0.000 0.000 0.000
Sr2 0.000 0.000 0.500
Sr3 0.000 0.500 0.000
Sr4 0.500 0.000 0.000
Cu1 0.000 0.500 0.500
Cu2 0.500 0.000 0.500
Cu3 0.500 0.500 0.000
Cu4 0.500 0.500 0.500
H1 0.190 0.190 0.560
H2 0.190 0.560 0.190
H3 0.190 0.560 0.560
H4 0.440 0.440 0.810
H5 0.440 0.810 0.440
H6 0.440 0.810 0.810
H7 0.560 0.190 0.190
H8 0.560 0.190 0.560
H9 0.560 0.560 0.190
H10 0.810 0.440 0.440
H11 0.810 0.440 0.810
H12 0.810 0.810 0.440

(8)
# SrCuH PBE optimized geometry
# **Spin magnetization**: 0.00 μB/f.u.
# **Total energy**: -3.190 eV/atom
# **Calculated volume**: 224.2 Å³ per cell
# **Density**: 4.508 g cm⁻³
# **Space-group type**: C2/m, No. 12
data_SrCuH
_chemical_formula_sum 'Sr4 Cu4 H4'
_cell_length_a 7.907
_cell_length_b 3.730
_cell_length_c 7.741
_cell_angle_alpha 90.00
_cell_angle_beta 100.88
_cell_angle_gamma 90.00
_symmetry_space_group_name_H-M 'P 1'
_symmetry_Int_Tables_number 1
loop_
_symmetry_equiv_pos_as_xyz
'x,y,z'
loop_
_atom_site_label
_atom_site_fract_x
_atom_site_fract_y
_atom_site_fract_z
Sr1 0.060 0.000 0.299
Sr2 0.440 0.500 0.701
Sr3 0.560 0.500 0.299
Sr4 0.940 0.000 0.701
Cu1 0.154 0.500 0.002
Cu2 0.346 0.000 0.998
Cu3 0.654 0.000 0.002
Cu4 0.846 0.500 0.998
H1 0.139 0.500 0.555
H2 0.361 0.000 0.445
H3 0.639 0.000 0.555
H4 0.861 0.500 0.445